{
  "formula": "CeY2Mn",
  "functional": "PBE",
  "state": "relaxed",
  "lattice_angstrom": [[-2.686, 0.004, 2.226], [-2.226, -0.056, -2.686], [0.084, -8.890, 0.117]],
  "species": ["Y", "Y", "Mn", "Ce"],
  "fractional_positions": [[0.000, 0.000, 0.800], [0.000, 0.000, 0.200], [0.500, 0.500, 0.000], [0.500, 0.500, 0.500]],
  "density_g_cm3": 5.72,
  "e_form_mev_per_atom": 176,
  "magmom_total_mub_per_cell": 4.61
}

{
  "formula": "Ac2PuCrN4",
  "functional": "PBE",
  "state": "relaxed",
  "lattice_angstrom": [[3.648, 0.000, 0.000], [-1.824, 6.693, 0.000], [0.000, 0.000, 12.623]],
  "species": ["Ac", "Ac", "Ac", "Ac", "Pu", "Pu", "Cr", "Cr", "N", "N", "N", "N", "N", "N", "N", "N"],
  "fractional_positions": [[0.372, 0.745, 0.538], [0.628, 0.255, 0.038], [0.628, 0.255, 0.462], [0.372, 0.745, 0.962], [0.151, 0.303, 0.750], [0.849, 0.697, 0.250], [0.822, 0.643, 0.750], [0.178, 0.357, 0.250], [0.275, 0.550, 0.140], [0.725, 0.450, 0.640], [0.725, 0.450, 0.860], [0.275, 0.550, 0.360], [0.000, 0.000, 0.500], [0.000, 0.000, 0.000], [0.361, 0.722, 0.750], [0.639, 0.278, 0.250]],
  "formation_energy_uncorrected_ev_per_fu": -6.02,
  "density_g_cm3": 8.69,
  "magmom_total_mub_per_cell": 15.94
}

{
  "formula": "SrNiGe2Ru",
  "functional": "PBE",
  "state": "relaxed",
  "lattice_angstrom": [[4.126, 0.000, 0.000], [0.000, 4.126, 0.000], [-2.063, -2.063, 5.554]],
  "species": ["Sr", "Ni", "Ge", "Ge", "Ru"],
  "fractional_positions": [[0.000, 0.000, 0.000], [0.750, 0.250, 0.500], [0.634, 0.634, 0.269], [0.366, 0.366, 0.731], [0.250, 0.750, 0.500]],
  "density_g_cm3": 6.90,
  "e_form_mev_per_atom": -507,
  "magmom_total_mub_per_cell": 0.00
}

{
  "formula": "TiGe2Se2",
  "functional": "PBE",
  "state": "relaxed",
  "lattice_angstrom": [[-0.451, 1.683, -6.727], [-6.931, -0.320, 0.385], [-0.136, 4.228, 1.067]],
  "species": ["Ge", "Ge", "Ge", "Ge", "Se", "Se", "Se", "Se", "Ti", "Ti"],
  "fractional_positions": [[0.153, 0.653, 0.500], [0.653, 0.847, 0.500], [0.847, 0.347, 0.500], [0.347, 0.153, 0.500], [0.320, 0.820, 0.000], [0.820, 0.680, 0.000], [0.680, 0.180, 0.000], [0.180, 0.320, 0.000], [0.000, 0.000, 0.000], [0.500, 0.500, 0.000]],
  "polymorph_energy_ev_per_atom": 0.0254,
  "formation_energy_uncorrected_ev_per_fu": -0.55,
  "density_g_cm3": 5.53,
  "magmom_total_mub_per_cell": 0.00
}